VASP calculation (GGA+U) on a geometry-optimized NaSrLaWO6 structure.

* excess energy over the best structure of this formula in the dataset: 0.025 eV per atom
* raw total energy: -6.987 eV/atom
* total moment: 0.0 μB/f.u.

a b c (Å): 8.1772 8.1772 8.1772
angles (deg): 90.00 90.00 90.00
Space group F-43m (No. 216)
Symmetry-distinct sites (fractional):
Na1 0.0000 0.0000 0.0000 (multiplicity 4)
Sr1 0.2500 0.2500 0.7500 (multiplicity 4)
La1 0.2500 0.2500 0.2500 (multiplicity 4)
W1 0.0000 0.0000 0.5000 (multiplicity 4)
O1 0.0000 0.0000 0.2635 (multiplicity 24)